Record 1
4
Lattice="1.720 -2.408 0.000 1.720 2.408 0.000 0.000 0.000 10.054" Properties=species:S:1:pos:R:3 comment="PBE Zr2ScW, optimized geometry" dft_energy_ev_per_atom=-8.91 mass_density_g_cm3=8.2 dos_ef_per_ev_atom=1.284 pbc="T T T"
Zr 0.000 0.000 0.000
Zr 1.720 0.000 2.730
Sc 0.000 0.000 5.559
W 1.720 0.000 7.805

***

Record 2
12
Lattice="4.478 -7.644 0.000 4.478 7.644 0.000 -3.069 0.000 8.096" Properties=species:S:1:pos:R:3 comment="PBE Rb5UTe6, optimized geometry" dft_energy_ev_per_atom=-3.76 mass_density_g_cm3=4.3 formation_energy_uncorrected_mev_per_atom=-842.0 dos_ef_per_ev_atom=1.150 pbc="T T T"
Rb 0.000 0.000 0.000
Rb 2.944 5.131 4.048
Rb 4.478 2.767 0.000
Rb 4.478 -2.767 0.000
Rb 2.944 -5.131 4.048
U 2.944 0.000 4.048
Te 1.738 2.103 2.351
Te 0.568 0.000 5.769
Te 1.738 -2.103 2.351
Te 4.149 2.103 5.744
Te 5.319 0.000 2.326
Te 4.149 -2.103 5.744

***

Results for volume: 20.82 46.19 (in Å³/atom, following the order of the records).